[1]
# MgTaAlOs PBE relaxed
# Energy above the lowest structure with this stoichiometry (meV/atom): 517
data_MgTaAlOs
_cell_length_a 6.325
_cell_length_b 6.325
_cell_length_c 6.325
_cell_angle_alpha 90.00
_cell_angle_beta 90.00
_cell_angle_gamma 90.00
_space_group_name_H-M_alt 'F -4 3 m'
_space_group_IT_number 216
_space_group_name_Hall 'F -4 2 3'
loop_
_atom_site_label
_atom_site_fract_x
_atom_site_fract_y
_atom_site_fract_z
_atom_site_occupancy
Mg1 0.000 0.000 0.000 1
Ta1 0.250 0.250 0.250 1
Al1 0.000 0.000 0.500 1
Os1 0.250 0.250 0.750 1



[2]
# MgTaAlOs PBE relaxed
# Energy above the lowest structure with this stoichiometry (meV/atom): 88
data_MgTaAlOs
_cell_length_a 6.338
_cell_length_b 6.338
_cell_length_c 6.338
_cell_angle_alpha 90.00
_cell_angle_beta 90.00
_cell_angle_gamma 90.00
_space_group_name_H-M_alt 'F -4 3 m'
_space_group_IT_number 216
_space_group_name_Hall 'F -4 2 3'
loop_
_atom_site_label
_atom_site_fract_x
_atom_site_fract_y
_atom_site_fract_z
_atom_site_occupancy
Mg1 0.000 0.000 0.000 1
Ta1 0.000 0.000 0.500 1
Al1 0.250 0.250 0.250 1
Os1 0.250 0.250 0.750 1



[3]
# MgPaAl PBE relaxed
# Energy above the lowest structure with this stoichiometry (meV/atom): 0
data_MgPaAl
_cell_length_a 6.741
_cell_length_b 6.741
_cell_length_c 6.741
_cell_angle_alpha 90.00
_cell_angle_beta 90.00
_cell_angle_gamma 90.00
_space_group_name_H-M_alt 'F -4 3 m'
_space_group_IT_number 216
_space_group_name_Hall 'F -4 2 3'
loop_
_atom_site_label
_atom_site_fract_x
_atom_site_fract_y
_atom_site_fract_z
_atom_site_occupancy
Mg1 0.000 0.000 0.000 1
Pa1 0.000 0.000 0.500 1
Al1 0.250 0.250 0.250 1



[4]
# MgPaAl PBE relaxed
# Energy above the lowest structure with this stoichiometry (meV/atom): 475
data_MgPaAl
_cell_length_a 6.970
_cell_length_b 6.970
_cell_length_c 6.970
_cell_angle_alpha 90.00
_cell_angle_beta 90.00
_cell_angle_gamma 90.00
_space_group_name_H-M_alt 'F -4 3 m'
_space_group_IT_number 216
_space_group_name_Hall 'F -4 2 3'
loop_
_atom_site_label
_atom_site_fract_x
_atom_site_fract_y
_atom_site_fract_z
_atom_site_occupancy
Mg1 0.000 0.000 0.000 1
Pa1 0.250 0.250 0.750 1
Al1 0.000 0.000 0.500 1



[5]
# MgAlPd2 PBE relaxed
# E_tot (eV per atom): -4.54
data_MgAlPd2
_cell_length_a 4.4460
_cell_length_b 4.4460
_cell_length_c 7.7605
_cell_angle_alpha 90.00
_cell_angle_beta 90.00
_cell_angle_gamma 120.00
_space_group_name_H-M_alt 'P 63/m m c'
_space_group_IT_number 194
_space_group_name_Hall '-P 6c 2c'
loop_
_atom_site_label
_atom_site_fract_x
_atom_site_fract_y
_atom_site_fract_z
_atom_site_occupancy
Mg1 0.0000 0.0000 0.0000 1
Al1 0.3333 0.6667 0.2500 1
Pd1 0.3333 0.6667 0.5805 1



[6]
# MgAlPd2 PBE relaxed
# E_tot (eV per atom): -4.74
data_MgAlPd2
_cell_length_a 4.426
_cell_length_b 4.426
_cell_length_c 3.083
_cell_angle_alpha 90.00
_cell_angle_beta 90.00
_cell_angle_gamma 90.00
_space_group_name_H-M_alt 'P 4/m m m'
_space_group_IT_number 123
_space_group_name_Hall '-P 4 2'
loop_
_atom_site_label
_atom_site_fract_x
_atom_site_fract_y
_atom_site_fract_z
_atom_site_occupancy
Mg1 0.000 0.000 0.000 1
Al1 0.500 0.500 0.000 1
Pd1 0.000 0.500 0.500 1